A relaxed BeTcN crystal. Source: the Alexandria database, functional PBE-GGA.

Output
* D(E_F): 2.08 states/eV/f.u.
* energy above the most stable polymorph in this dataset: 0.2102 eV/atom
* energy relative to the elements, uncorrected: -209.1 meV per atom
* crystal system: monoclinic

```
data_BeTcN
_space_group_name_H-M_alt 'C 1 m 1'
_space_group_IT_number 8
_space_group_name_Hall 'C -2y'
_cell_length_a 5.2615
_cell_length_b 2.7237
_cell_length_c 4.5743
_cell_angle_alpha 90.00
_cell_angle_beta 121.95
_cell_angle_gamma 90.00
loop_
_atom_site_label
_atom_site_type_symbol
_atom_site_fract_x
_atom_site_fract_y
_atom_site_fract_z
Be1 Be 0.0000 0.0000 0.0000
Tc1 Tc 0.0338 0.5000 0.4698
N1 N 0.2686 0.0000 0.9084
```